No. 1
Density functional theory data (PBE-GGA) for ScSeS2N after structural relaxation.

**Space-group type**: P4/mmm
**Energy relative to the elements, uncorrected**: 0.300 eV/atom
**Calculated density**: 3.85 Mg/m³

Cell and atoms, written as POSCAR:
```
ScSeS2N
1.0
4.8592 0.0000 0.0000
0.0000 4.8592 0.0000
0.0000 0.0000 3.6886
Sc Se S N
1 1 2 1
direct
0.0000 0.0000 0.0000
0.5000 0.5000 0.5000
0.0000 0.5000 0.5000
0.5000 0.0000 0.5000
0.5000 0.5000 0.0000
```

No. 2
Density functional theory data (PBE-GGA) for PaRh2PbO8 after structural relaxation.

**Space-group type**: P-3m1
**Energy relative to the elements, uncorrected**: -1.174 eV/atom
**Calculated density**: 5.86 Mg/m³

Cell and atoms, written as POSCAR:
```
PaRh2PbO8
1.0
5.9765 0.0000 0.0000
-2.9883 5.1758 0.0000
0.0000 0.0000 7.0740
Pa Rh Pb O
1 2 1 8
direct
0.0000 0.0000 0.0000
0.3333 0.6667 0.2943
0.6667 0.3333 0.7057
0.0000 0.0000 0.5000
0.1589 0.3179 0.1992
0.1589 0.8411 0.1992
0.3179 0.1589 0.8008
0.3333 0.6667 0.5442
0.6667 0.3333 0.4558
0.6821 0.8411 0.1992
0.8411 0.1589 0.8008
0.8411 0.6821 0.8008
```

No. 3
Density functional theory data (PBE-GGA) for ErTm4Th after structural relaxation.

**Space-group type**: F-43m
**Calculated density**: 9.33 Mg/m³
**Formation energy**: 323.3 meV per atom

Cell and atoms, written as POSCAR:
```
ErTm4Th
1.0
0.0000 4.5728 4.5728
4.5728 0.0000 4.5728
4.5728 4.5728 0.0000
Er Tm Th
1 4 1
direct
0.0000 0.0000 0.0000
0.1259 0.6247 0.6247
0.6247 0.1259 0.6247
0.6247 0.6247 0.1259
0.6247 0.6247 0.6247
0.2500 0.2500 0.2500
```

No. 4
Density functional theory data (PBE-GGA) for La11Tb4Th9 after structural relaxation.

**Space-group type**: Cmmm
**Calculated density**: 8.57 Mg/m³
**Formation energy**: 111.6 meV per atom

Cell and atoms, written as POSCAR:
```
La11Tb4Th9
1.0
8.3427 -13.6097 0.0000
8.3427 13.6097 0.0000
0.0000 0.0000 3.6271
La Tb Th
11 4 9
direct
0.0000 0.0000 0.0000
0.0288 0.4016 0.0000
0.1862 0.8138 0.0000
0.2126 0.2126 0.0000
0.3831 0.6169 0.0000
0.4016 0.0288 0.0000
0.5984 0.9712 0.0000
0.6169 0.3831 0.0000
0.7874 0.7874 0.0000
0.8138 0.1862 0.0000
0.9712 0.5984 0.0000
0.2345 0.4126 0.5000
0.4126 0.2345 0.5000
0.5874 0.7655 0.5000
0.7655 0.5874 0.5000
0.0141 0.2013 0.5000
0.1801 0.6123 0.5000
0.2013 0.0141 0.5000
0.3877 0.8199 0.5000
0.5000 0.5000 0.5000
0.6123 0.1801 0.5000
0.7987 0.9859 0.5000
0.8199 0.3877 0.5000
0.9859 0.7987 0.5000
```